The following is a DFT calculation (PBE-GGA) of a relaxed structure of KCd.

```
data_KCd
_chemical_formula_sum 'K3 Cd3'
_space_group_name_H-M_alt 'R -3 m'
_space_group_IT_number 166
_space_group_name_Hall '-R 3 2"'
_cell_length_a 4.1292
_cell_length_b 4.1292
_cell_length_c 16.8724
_cell_angle_alpha 90.00
_cell_angle_beta 90.00
_cell_angle_gamma 120.00
loop_
_atom_site_label
_atom_site_type_symbol
_atom_site_fract_x
_atom_site_fract_y
_atom_site_fract_z
_atom_site_occupancy
K1 K 0.0000 0.0000 0.0000 1
Cd1 Cd 0.0000 0.0000 0.5000 1
```

- magnetic moment (Bohr magnetons per cell) = 0.00
- DOS(E_F) (states/eV per atom) = 0.9229
- V (Å³/atom) = 41.5
- raw total energy (eV per formula unit) = -1.83